[1]
Entry from Alexandria via LeMat-Bulk: crystalline KZr3 at its relaxed geometry (PBE).

The total magnetization comes out at 0.0 μB per formula unit. The calculation puts the calculated formation energy at 516 meV/atom. For the calculated volume, the calculation gives 445.74 Å³/cell.

It has space group Cmcm (No. 63), with a = 12.0041 Å, b = 11.4768 Å, c = 3.2354 Å, α = 90.00°, β = 90.00° and γ = 90.00°. Symmetry generates all atoms from K at (0.0000, 0.1250, 0.2500), Zr at (0.0000, 0.3924, 0.7500) and Zr at (0.2150, 0.3868, 0.2500).

***

[2]
Entry from Alexandria via LeMat-Bulk: crystalline KZr at its relaxed geometry (PBE).

The total magnetization comes out at 0.0 μB per formula unit. The calculation puts the calculated formation energy at 532 meV/atom. For the calculated volume, the calculation gives 137.00 Å³/cell.

It has space group P-3m1 (No. 164), with a = 3.4625 Å, b = 3.4625 Å, c = 13.1951 Å, α = 90.00°, β = 90.00° and γ = 120.00°. Symmetry generates all atoms from K at (0.3333, 0.6667, 0.1578) and Zr at (0.3333, 0.6667, 0.5875).

***

[3]
Entry from Alexandria via LeMat-Bulk: crystalline KZr3 at its relaxed geometry (PBE).

The total magnetization comes out at 0.0 μB per formula unit. The calculation puts the calculated formation energy at 757 meV/atom. For the calculated volume, the calculation gives 211.36 Å³/cell.

It has space group Imm2 (No. 44), with a = 3.0879 Å, b = 11.0032 Å, c = 6.2207 Å, α = 90.00°, β = 90.00° and γ = 90.00°. Symmetry generates all atoms from K at (0.0000, 0.0000, 0.0000), Zr at (0.0000, 0.2309, 0.3341) and Zr at (0.0000, 0.5000, 0.0042).

***

[4]
Entry from Alexandria via LeMat-Bulk: crystalline K2Zr at its relaxed geometry (PBE).

The total magnetization comes out at 1.5 μB per formula unit. The calculation puts the calculated formation energy at 1130 meV/atom. For the calculated volume, the calculation gives 156.83 Å³/cell.

It has space group P4/mmm (No. 123), with a = 7.0622 Å, b = 7.0622 Å, c = 3.1445 Å, α = 90.00°, β = 90.00° and γ = 90.00°. Symmetry generates all atoms from K at (0.0000, 0.5000, 0.0000) and Zr at (0.0000, 0.0000, 0.5000).